Density functional theory data (PBE-GGA) for crystalline DyCo4C2 at its relaxed geometry.

Computed properties:
* space group: No. 65
* D(E_F): 6.63 states/eV/cell
* DFT formation energy: -0.55 eV/f.u.
* calculated volume: 11.0 Å³/atom
* magnetic moment: 0.00 μB per formula unit
* raw total energy: -52.0 eV per cell

a = 3.4674 Å, b = 3.4863 Å, c = 6.6309 Å
α = 105.24°, β = 90.00°, γ = 90.00°
Atoms (fractional coordinates):
C  0.5000  0.3840  0.7680
C  0.5000  0.6160  0.2320
Co  0.0000  0.6795  0.3590
Co  0.0000  0.3205  0.6410
Dy  0.0000  0.0000  0.0000
Co  0.5000  0.1766  0.3532
Co  0.5000  0.8234  0.6468